# 1
{
  "formula": "Ac8Ir3Au",
  "functional": "PBE",
  "state": "optimized geometry",
  "lattice_angstrom": [[-6.0952, -4.4951, -4.7816], [6.2220, 4.9184, -4.1665], [2.0149, -7.1597, 4.1622]],
  "species": ["Ac", "Ac", "Ac", "Ac", "Ac", "Ac", "Ac", "Ac", "Ir", "Ir", "Ir", "Au"],
  "fractional_positions": [[0.7470, 0.0218, 0.7681], [0.2527, 0.5053, 0.2312], [0.7437, 0.4874, 0.2320], [0.2530, 0.9782, 0.2319], [0.7473, 0.4947, 0.7688], [0.7252, 0.9782, 0.2319], [0.2563, 0.5126, 0.7680], [0.2748, 0.0218, 0.7681], [0.0000, 0.5000, 0.0000], [0.5000, 0.0000, 0.0000], [0.5000, 0.5000, 0.0000], [0.0000, 0.0000, 0.0000]],
  "e_form_ev_per_fu": -6.90
}


# 2
{
  "formula": "Pu2TlBi3",
  "functional": "PBE",
  "state": "optimized geometry",
  "lattice_angstrom": [[3.5146, 0.0000, 0.0000], [0.0000, 3.5146, 0.0000], [0.0000, 0.0000, 14.6848]],
  "species": ["Tl", "Bi", "Bi", "Bi", "Pu", "Pu"],
  "fractional_positions": [[0.5000, 0.5000, 0.5000], [0.0000, 0.0000, 0.6836], [0.0000, 0.0000, 0.3164], [0.0000, 0.0000, 0.0000], [0.5000, 0.5000, 0.1571], [0.5000, 0.5000, 0.8429]],
  "e_form_ev_per_fu": -1.43
}


# 3
{
  "formula": "K3MnAg3Br8",
  "functional": "PBE",
  "state": "optimized geometry",
  "lattice_angstrom": [[-0.9993, -8.3475, -1.5487], [4.5173, 2.5730, 6.8099], [-8.8730, 1.0435, 0.1012]],
  "species": ["Br", "Br", "Br", "Br", "Br", "Br", "Br", "Br", "Ag", "Ag", "Ag", "K", "K", "K", "Mn"],
  "fractional_positions": [[0.2224, 0.9803, 0.7015], [0.2421, 0.0197, 0.2985], [0.7776, 0.0197, 0.2985], [0.7360, 0.4720, 0.7067], [0.7786, 0.5572, 0.2993], [0.2214, 0.4428, 0.7007], [0.2640, 0.5280, 0.2933], [0.7579, 0.9803, 0.7015], [0.0000, 0.5000, 0.5000], [0.5000, 0.0000, 0.5000], [0.5000, 0.5000, 0.5000], [0.0000, 0.5000, 0.0000], [0.0000, 0.0000, 0.0000], [0.5000, 0.5000, 0.0000], [0.0000, 0.0000, 0.5000]]
}


# 4
{
  "formula": "Nd2Ho2Hg",
  "functional": "PBE",
  "state": "optimized geometry",
  "lattice_angstrom": [[-5.8806, 1.8990, 4.0718], [-5.1891, -3.5346, 0.8795], [0.5625, -2.5313, 8.7214]],
  "species": ["Hg", "Hg", "Ho", "Ho", "Ho", "Ho", "Nd", "Nd", "Nd", "Nd"],
  "fractional_positions": [[0.2508, 0.4983, 0.0000], [0.7492, 0.5017, 0.0000], [0.1021, 0.5911, 0.7057], [0.8979, 0.4089, 0.2943], [0.3068, 0.5911, 0.2943], [0.6932, 0.4089, 0.7057], [0.7049, 0.0000, 0.0919], [0.2913, 0.0000, 0.4993], [0.7087, 0.0000, 0.5007], [0.2951, 0.0000, 0.9081]],
  "e_above_lowest_polymorph_mev_per_atom": 40.4,
  "e_form_ev_per_fu": -0.71
}


# 5
{
  "formula": "NbHF2",
  "functional": "PBE",
  "state": "optimized geometry",
  "lattice_angstrom": [[0.0000, 2.6953, 2.6953], [2.6953, 0.0000, 2.6953], [2.6953, 2.6953, 0.0000]],
  "species": ["F", "F", "Nb", "H"],
  "fractional_positions": [[0.2500, 0.2500, 0.2500], [0.7500, 0.7500, 0.7500], [0.5000, 0.5000, 0.5000], [0.0000, 0.0000, 0.0000]],
  "e_above_lowest_polymorph_mev_per_atom": 109.8
}


# 6
{
  "formula": "KCaIr2",
  "functional": "PBE",
  "state": "optimized geometry",
  "lattice_angstrom": [[-1.3623, 0.9707, -2.4576], [-1.4513, -3.6440, -0.6347], [-7.4192, 2.0945, 4.9397]],
  "species": ["Ca", "K", "Ir", "Ir"],
  "fractional_positions": [[0.5000, 0.5000, 0.8534], [0.0000, 0.0000, 0.4268], [0.0000, 0.0000, 0.0683], [0.5000, 0.5000, 0.1514]],
  "e_above_lowest_polymorph_mev_per_atom": 0.0,
  "e_form_ev_per_fu": 0.82
}


no.,V (Å³/f.u.),total energy (eV for the cell shown)
1,472,-69.6
2,181,-44.1
3,472,-48.8
4,158,-39.4
5,39,-21.3
6,108,-20.0